1.
The following is a DFT calculation (PBE) of CdSi2As after structural relaxation.

a = 5.2530 Å, b = 5.2530 Å, c = 2.8465 Å
α = 90.00°, β = 90.00°, γ = 107.82°
Closest atoms and distances in Å follow each position.
Atoms (fractional coordinates):
Cd 0.0000 0.5000 0.5000  2 Cd 2.85, 8 Si 2.99, 2 As 3.09
Si 0.5000 0.5000 0.0000  4 Si 2.85-3.09, 4 As 2.99, 4 Cd 2.99
Si 0.0000 0.0000 0.0000  4 Si 2.85-3.09, 4 Cd 2.99, 4 As 2.99
As 0.5000 0.0000 0.5000  2 As 2.85, 8 Si 2.99, 2 Cd 3.09

Values from the calculation:
Symmetry: Cmmm (65)

2.
The following is a DFT calculation (PBE) of Cd2SiAs after structural relaxation.

a = 3.0283 Å, b = 3.0283 Å, c = 9.0667 Å
α = 90.00°, β = 90.00°, γ = 95.17°
Closest atoms and distances in Å follow each position.
Atoms (fractional coordinates):
As 0.5000 0.5000 0.7500  4 As 3.03, 8 Cd 3.12-3.25
Cd 0.0000 0.0000 0.0108  4 Si 2.98-3.11, 4 Cd 3.03, 4 As 3.12-3.25
Cd 0.0000 0.0000 0.4892  4 Si 2.98-3.11, 4 Cd 3.03, 4 As 3.12-3.25
Si 0.5000 0.5000 0.2500  8 Cd 2.98-3.11, 4 Si 3.03

Values from the calculation:
Symmetry: Cmmm (65)

3.
The following is a DFT calculation (PBE) of CdSi2As after structural relaxation.

a = 10.0131 Å, b = 10.0131 Å, c = 10.0131 Å
α = 17.10°, β = 17.10°, γ = 17.10°
Closest atoms and distances in Å follow each position.
Atoms (fractional coordinates):
As 0.5150 0.5150 0.5150  3 Si 2.75, 6 As 2.98
Si 0.9845 0.9845 0.9845  3 Si 2.56
Si 0.2540 0.2540 0.2540  3 Si 2.56, 3 As 2.75
Cd 0.7465 0.7465 0.7465  6 Cd 2.98, 3 Si 3.30

Values from the calculation:
Symmetry: R3m (160)

4.
The following is a DFT calculation (PBE) of CdSiAs2 after structural relaxation.

a = 3.6913 Å, b = 3.6913 Å, c = 7.1903 Å
α = 75.27°, β = 75.27°, γ = 59.70°
Closest atoms and distances in Å follow each position.
Atoms (fractional coordinates):
As 0.4860 0.4860 0.5421  3 Si 2.56
As 0.0140 0.0140 0.9579  3 Si 2.56
Cd 0.2500 0.2500 0.2500  6 As 2.92-2.93
Si 0.7500 0.7500 0.7500  6 As 2.56

Values from the calculation:
Symmetry: C2/m (12)

5.
The following is a DFT calculation (PBE) of CdSiAs2 after structural relaxation.

a = 4.0159 Å, b = 4.0159 Å, c = 6.1878 Å
α = 90.00°, β = 90.00°, γ = 90.00°
Closest atoms and distances in Å follow each position.
Atoms (fractional coordinates):
Si 0.5000 0.5000 0.5000  4 As 2.44
As 0.0000 0.5000 0.2768  2 Si 2.44, 2 Cd 2.64
As 0.5000 0.0000 0.7232  2 Si 2.44, 2 Cd 2.64
Cd 0.0000 0.0000 0.0000  4 As 2.64

Values from the calculation:
Symmetry: P-4m2 (115)

6.
The following is a DFT calculation (PBE) of CdSiAs2 after structural relaxation.

a = 5.4284 Å, b = 2.7177 Å, c = 5.4284 Å
α = 90.02°, β = 90.00°, γ = 90.00°
Closest atoms and distances in Å follow each position.
Atoms (fractional coordinates):
Cd 0.0000 0.5017 0.3747  2 Cd 2.72, 8 As 3.03-3.04
As 0.5000 0.9991 0.3752  2 Si 2.71, 2 As 2.72, 4 Cd 3.03-3.04
As 0.0000 0.0000 0.8750  2 Si 2.71, 2 As 2.72, 4 Cd 3.03-3.04
Si 0.5000 0.9992 0.8752  4 As 2.71, 2 Si 2.72

Values from the calculation:
Symmetry: P4mm (99)

Results for calculated total energy: -3.5697, -2.6131, -3.6888, -3.8384, -3.9421, -3.7088 (in eV/atom, following the order of the records).